Density functional theory data (PBE) for a geometry-optimized Ce2MgGa3Rh4 structure.

a b c (Å): 4.2048 4.2048 10.6383
angles (deg): 90.00 90.00 90.00
Element x y z (fractional)
Ce 0.0000 0.5000 0.2370
Ce 0.5000 0.0000 0.7630
Mg 0.0000 0.0000 0.5000
Ga 0.0000 0.5000 0.8766
Ga 0.5000 0.0000 0.1234
Ga 0.5000 0.5000 0.5000
Rh 0.0000 0.0000 0.0000
Rh 0.0000 0.5000 0.6446
Rh 0.5000 0.0000 0.3554
Rh 0.5000 0.5000 0.0000

## Properties
- SG: P-4m2, No. 115
- Calculated formation energy: -720 meV/atom
- E_tot: -5.91 eV/atom